A plane-wave DFT calculation with PBE-GGA was carried out for a relaxed structure of Zn2CuTc.

The space group is R-3m (No. 166, hexagonal axes) and the conventional cell measures 2.7181, 2.7181 and 25.9798 Å, with angles of 90.00, 90.00 and 120.00 degrees. The inequivalent atoms are Zn at (0.0000, 0.0000, 0.2473), Cu at (0.0000, 0.0000, 0.5000) and Tc at (0.0000, 0.0000, 0.0000).

Its excess energy over the best structure of this formula in the dataset is 26 meV/atom. Its formation energy is 0.0318 eV/atom. Its total energy is -50.649 eV/cell. As for the total moment: 0.00 μB/f.u.

A plane-wave DFT calculation with PBE-GGA was carried out for a relaxed structure of BaNdMg4.

The space group is F-43m (No. 216) and the conventional cell measures 8.990, 8.990 and 8.990 Å, with angles of 90.00, 90.00 and 90.00 degrees. The inequivalent atoms are Ba at (0.000, 0.000, 0.000), Nd at (0.250, 0.250, 0.750) and Mg at (0.123, 0.123, 0.377).

Its formation energy is -0.0512 eV/atom. Its total energy is -53.506 eV/cell. As for the total moment: 0.00 μB/f.u.

A plane-wave DFT calculation with PBE-GGA was carried out for a relaxed structure of BeTcTe2.

The space group is I-4m2 (No. 119) and the conventional cell measures 4.054, 4.054 and 9.222 Å, with angles of 90.00, 90.00 and 90.00 degrees. The inequivalent atoms are Be at (0.000, 0.000, 0.000), Tc at (0.000, 0.500, 0.750), Te at (0.000, 0.000, 0.500) and Te at (0.000, 0.500, 0.250).

Its total energy is -34.078 eV/cell. As for the total moment: 0.00 μB/f.u. The formation energy (no corrections) is 0.83 eV per atom.

A plane-wave DFT calculation with PBE-GGA was carried out for a relaxed structure of CaBeCr2.

The space group is P4mm (No. 99) and the conventional cell measures 3.044, 3.044 and 6.895 Å, with angles of 90.00, 90.00 and 90.00 degrees. The inequivalent atoms are Ca at (0.000, 0.000, 0.000), Be at (0.500, 0.500, 0.690), Cr at (0.000, 0.000, 0.521) and Cr at (0.500, 0.500, 0.348).

Its formation energy is 0.3807 eV/atom. Its total energy is -23.452 eV/cell. As for the total moment: 0.97 μB/f.u.

A plane-wave DFT calculation with PBE-GGA was carried out for a relaxed structure of Cd2GaGe2.

The space group is I4/mmm (No. 139) and the conventional cell measures 3.836, 3.836 and 15.203 Å, with angles of 90.00, 90.00 and 90.00 degrees. The inequivalent atoms are Cd at (0.000, 0.000, 0.097), Ga at (0.000, 0.000, 0.500) and Ge at (0.000, 0.500, 0.250).

Its excess energy over the best structure of this formula in the dataset is 25 meV/atom. Its formation energy is 0.2092 eV/atom. Its total energy is -26.092 eV/cell. As for the total moment: 0.00 μB/f.u.

A plane-wave DFT calculation with PBE-GGA was carried out for a relaxed structure of Pr8Y5Sc.

The space group is I-4 (No. 82) and the conventional cell measures 10.334, 10.334 and 9.192 Å, with angles of 90.00, 90.00 and 90.00 degrees. The inequivalent atoms are Pr at (0.031, 0.339, 0.436), Pr at (0.161, 0.247, 0.784), Y at (0.000, 0.000, 0.500), Y at (0.067, 0.154, 0.129) and Sc at (0.000, 0.500, 0.750).

Its formation energy is 0.2555 eV/atom. Its total energy is -146.622 eV/cell. As for the total moment: 0.00 μB/f.u.

A plane-wave DFT calculation with PBE-GGA was carried out for a relaxed structure of CsLiTlF6.

The space group is Imma (No. 74) and the conventional cell measures 7.288, 8.133 and 10.811 Å, with angles of 90.00, 90.00 and 90.00 degrees. The inequivalent atoms are Cs at (0.000, 0.250, 0.098), Li at (0.250, 0.250, 0.750), Tl at (0.000, 0.000, 0.500), F at (0.000, 0.250, 0.405), F at (0.000, 0.250, 0.813) and F at (0.219, 0.067, 0.620).

Its total energy is -140.158 eV/cell. As for the total moment: 1.03 μB/f.u. The formation energy (no corrections) is -2.08 eV per atom.

A plane-wave DFT calculation with PBE-GGA was carried out for a relaxed structure of BMo3Ir.

The space group is Pm-3m (No. 221) and the conventional cell measures 4.154, 4.154 and 4.154 Å, with angles of 90.00, 90.00 and 90.00 degrees. The inequivalent atoms are B at (0.000, 0.000, 0.000), Mo at (0.000, 0.000, 0.500) and Ir at (0.500, 0.500, 0.500).

Its excess energy over the best structure of this formula in the dataset is 0 meV/atom. Its formation energy is 0.0877 eV/atom. Its total energy is -47.593 eV/cell. As for the total moment: 0.00 μB/f.u.

A plane-wave DFT calculation with PBE-GGA was carried out for a relaxed structure of MgHgRhF6.

The space group is P-31c (No. 163) and the conventional cell measures 5.3854, 5.3854 and 11.3816 Å, with angles of 90.00, 90.00 and 120.00 degrees. The inequivalent atoms are Mg at (0.3333, 0.6667, 0.2500), Hg at (0.0000, 0.0000, 0.0000), Rh at (0.3333, 0.6667, 0.7500) and F at (0.0021, 0.3669, 0.6546).

Its total energy is -77.244 eV/cell. As for the total moment: 0.00 μB/f.u. The formation energy (no corrections) is -2.02 eV per atom.

A plane-wave DFT calculation with PBE-GGA was carried out for a relaxed structure of MnGaTcMo.

The space group is F-43m (No. 216) and the conventional cell measures 6.073, 6.073 and 6.073 Å, with angles of 90.00, 90.00 and 90.00 degrees. The inequivalent atoms are Mn at (0.000, 0.000, 0.000), Ga at (0.250, 0.250, 0.750), Tc at (0.000, 0.000, 0.500) and Mo at (0.250, 0.250, 0.250).

Its formation energy is -0.0488 eV/atom. Its total energy is -134.356 eV/cell. As for the total moment: 1.04 μB/f.u.

A plane-wave DFT calculation with PBE-GGA was carried out for a relaxed structure of KNb2Pb.

The space group is I-42d (No. 122) and the conventional cell measures 8.505, 8.505 and 5.804 Å, with angles of 90.00, 90.00 and 90.00 degrees. The inequivalent atoms are K at (0.000, 0.000, 0.000), Nb at (0.212, 0.250, 0.625) and Pb at (0.000, 0.000, 0.500).

Its formation energy is 1.3990 eV/atom. Its total energy is -77.397 eV/cell. As for the total moment: 0.00 μB/f.u.

A plane-wave DFT calculation with PBE-GGA was carried out for a relaxed structure of Pr2RhO.

The space group is R-3m (No. 166, hexagonal axes) and the conventional cell measures 3.8253, 3.8253 and 20.2396 Å, with angles of 90.00, 90.00 and 120.00 degrees. The inequivalent atoms are Pr at (0.0000, 0.0000, 0.2416), Rh at (0.0000, 0.0000, 0.0000) and O at (0.0000, 0.0000, 0.5000).

Its excess energy over the best structure of this formula in the dataset is 0 meV/atom. Its total energy is -83.315 eV/cell. As for the total moment: 0.00 μB/f.u. The formation energy (no corrections) is -1.48 eV per atom.